No. 1
This record from Alexandria via LeMat-Bulk describes an optimized crystal structure of RbTl5Au2. The functional is PBE.

abc: 4.522 7.885 7.885
angles: 68.78 73.34 73.34
Element x y z (fractional)
Rb: 0.000 0.000 0.000
Tl: 0.000 0.500 0.500
Tl: 0.648 0.551 0.153
Tl: 0.352 0.449 0.847
Tl: 0.352 0.847 0.449
Tl: 0.648 0.153 0.551
Au: 0.752 0.748 0.748
Au: 0.248 0.252 0.252

Values from the calculation:
Uncorrected energy   -20.116 eV/cell
Space-group type   No. 71
Total magnetization   0.00 μB/f.u.
Formation energy   -0.10 eV/atom

=====

No. 2
This record from Alexandria via LeMat-Bulk describes an optimized crystal structure of RbTl2Au3. The functional is PBE.

abc: 6.947 7.142 7.142
angles: 100.27 90.00 90.00
Element x y z (fractional)
Rb: 0.750 0.318 0.318
Rb: 0.250 0.682 0.682
Tl: 0.000 0.790 0.210
Tl: 0.500 0.210 0.790
Tl: 0.000 0.210 0.790
Tl: 0.500 0.790 0.210
Au: 0.750 0.930 0.930
Au: 0.250 0.070 0.070
Au: 0.750 0.820 0.540
Au: 0.250 0.180 0.460
Au: 0.750 0.540 0.820
Au: 0.250 0.460 0.180

Values from the calculation:
Uncorrected energy   -32.673 eV/cell
Space-group type   No. 63
Total magnetization   0.00 μB/f.u.
Formation energy   -0.13 eV/atom

=====

No. 3
This record from Alexandria via LeMat-Bulk describes an optimized crystal structure of Rb3Tl2Au. The functional is PBE.

abc: 4.894 9.220 13.250
angles: 78.29 79.36 74.61
Element x y z (fractional)
Rb: 0.104 0.031 0.760
Rb: 0.896 0.969 0.240
Rb: 0.655 0.703 0.987
Rb: 0.345 0.297 0.013
Rb: 0.843 0.745 0.569
Rb: 0.157 0.255 0.431
Tl: 0.888 0.433 0.792
Tl: 0.112 0.567 0.208
Tl: 0.493 0.393 0.621
Tl: 0.507 0.607 0.379
Au: 0.298 0.622 0.783
Au: 0.702 0.378 0.217

Values from the calculation:
Uncorrected energy   -23.063 eV/cell
Space-group type   No. 12
Total magnetization   0.00 μB/f.u.
Formation energy   -0.10 eV/atom

=====

No. 4
This record from Alexandria via LeMat-Bulk describes an optimized crystal structure of Rb2Tl2Au. The functional is PBE.

abc: 7.859 7.367 8.385
angles: 104.15 90.00 122.24
Element x y z (fractional)
Rb: 0.590 0.339 0.639
Rb: 0.251 0.661 0.861
Rb: 0.410 0.661 0.361
Rb: 0.749 0.339 0.139
Tl: 0.770 0.823 0.038
Tl: 0.948 0.177 0.462
Tl: 0.230 0.177 0.962
Tl: 0.052 0.823 0.538
Au: 0.836 0.000 0.750
Au: 0.164 0.000 0.250

Values from the calculation:
Uncorrected energy   -21.212 eV/cell
Space-group type   No. 15
Total magnetization   0.00 μB/f.u.
Formation energy   -0.13 eV/atom

=====

No. 5
This record from Alexandria via LeMat-Bulk describes an optimized crystal structure of Rb4Tl3Au5. The functional is PBE.

abc: 5.269 8.294 11.138
angles: 72.62 76.32 71.48
Element x y z (fractional)
Rb: 0.955 0.236 0.855
Rb: 0.263 0.731 0.742
Rb: 0.737 0.269 0.258
Rb: 0.045 0.764 0.145
Tl: 0.361 0.887 0.390
Tl: 0.000 0.500 0.500
Tl: 0.639 0.113 0.610
Au: 0.587 0.942 0.883
Au: 0.500 0.500 0.500
Au: 0.280 0.422 0.018
Au: 0.720 0.578 0.982
Au: 0.413 0.058 0.117

Values from the calculation:
Uncorrected energy   -29.093 eV/cell
Space-group type   No. 12
Total magnetization   0.00 μB/f.u.
Formation energy   -0.14 eV/atom

=====

No. 6
This record from Alexandria via LeMat-Bulk describes an optimized crystal structure of RbTl6Au2. The functional is PBE.

abc: 4.953 4.953 11.268
angles: 90.00 90.00 90.00
Element x y z (fractional)
Rb: 0.000 0.000 0.000
Tl: 0.000 0.500 0.281
Tl: 0.500 0.000 0.281
Tl: 0.000 0.500 0.719
Tl: 0.500 0.000 0.719
Tl: 0.500 0.500 0.500
Tl: 0.000 0.000 0.500
Au: 0.500 0.500 0.123
Au: 0.500 0.500 0.877

Values from the calculation:
Uncorrected energy   -22.487 eV/cell
Space-group type   No. 123
Total magnetization   0.00 μB/f.u.
Formation energy   -0.09 eV/atom

=====

No. 7
This record from Alexandria via LeMat-Bulk describes an optimized crystal structure of RbTl4Au2. The functional is PBE.

abc: 4.955 4.906 9.137
angles: 105.57 90.00 90.00
Element x y z (fractional)
Rb: 0.000 0.000 0.000
Tl: 0.500 0.821 0.642
Tl: 0.000 0.679 0.358
Tl: 0.500 0.179 0.358
Tl: 0.000 0.321 0.642
Au: 0.500 0.578 0.156
Au: 0.500 0.422 0.844

Values from the calculation:
Uncorrected energy   -17.803 eV/cell
Space-group type   No. 65
Total magnetization   0.00 μB/f.u.
Formation energy   -0.12 eV/atom

=====

No. 8
This record from Alexandria via LeMat-Bulk describes an optimized crystal structure of RbTl4Au4. The functional is PBE.

abc: 5.813 9.789 9.789
angles: 90.00 90.00 90.00
Element x y z (fractional)
Rb: 0.000 0.000 0.000
Rb: 0.500 0.500 0.500
Tl: 0.396 0.368 0.875
Tl: 0.896 0.625 0.868
Tl: 0.396 0.632 0.125
Tl: 0.104 0.132 0.625
Tl: 0.604 0.875 0.632
Tl: 0.104 0.868 0.375
Tl: 0.896 0.375 0.132
Tl: 0.604 0.125 0.368
Au: 0.593 0.828 0.325
Au: 0.593 0.172 0.675
Au: 0.093 0.825 0.672
Au: 0.907 0.328 0.825
Au: 0.907 0.672 0.175
Au: 0.407 0.325 0.172
Au: 0.407 0.675 0.828
Au: 0.093 0.175 0.328

Values from the calculation:
Uncorrected energy   -49.143 eV/cell
Space-group type   No. 86
Total magnetization   0.00 μB/f.u.
Formation energy   -0.11 eV/atom

=====

No. 9
This record from Alexandria via LeMat-Bulk describes an optimized crystal structure of RbTl2Au2. The functional is PBE.

abc: 9.036 9.036 3.482
angles: 90.00 90.00 90.00
Element x y z (fractional)
Tl: 0.372 0.872 0.000
Tl: 0.872 0.628 0.000
Tl: 0.628 0.128 0.000
Tl: 0.128 0.372 0.000
Au: 0.171 0.671 0.500
Au: 0.671 0.829 0.500
Au: 0.829 0.329 0.500
Au: 0.329 0.171 0.500
Rb: 0.000 0.000 0.000
Rb: 0.500 0.500 0.000

Values from the calculation:
Uncorrected energy   -25.274 eV/cell
Space-group type   No. 127
Total magnetization   0.00 μB/f.u.
Formation energy   -0.08 eV/atom

=====

No. 10
This record from Alexandria via LeMat-Bulk describes an optimized crystal structure of Rb2TlVAu. The functional is PBE.

abc: 6.555 5.148 6.555
angles: 90.00 90.00 90.00
Each line ends with the local moment (μB).
Element x y z (fractional)
Tl: 0.500 0.500 0.500  -0.06
Au: 0.000 0.000 0.000  0.02
Rb: 0.000 0.000 0.500  0.00
Rb: 0.500 0.000 0.000  0.01
V: 0.000 0.500 0.000  2.95

Values from the calculation:
Uncorrected energy   -13.950 eV/cell
Space-group type   No. 123
Total magnetization   3.62 μB/f.u.
Formation energy   0.55 eV/atom

=====

No. 11
This record from Alexandria via LeMat-Bulk describes an optimized crystal structure of Rb2YTlAu. The functional is PBE.

abc: 6.828 5.851 6.828
angles: 90.00 90.00 90.00
Element x y z (fractional)
Y: 0.000 0.500 0.000
Tl: 0.000 0.000 0.000
Au: 0.500 0.500 0.500
Rb: 0.000 0.000 0.500
Rb: 0.500 0.000 0.000

Values from the calculation:
Uncorrected energy   -11.838 eV/cell
Space-group type   No. 123
Total magnetization   0.00 μB/f.u.
Formation energy   0.44 eV/atom

=====

No. 12
This record from Alexandria via LeMat-Bulk describes an optimized crystal structure of RbTl2ZnAu. The functional is PBE.

abc: 5.502 5.502 5.201
angles: 90.00 90.00 90.00
Element x y z (fractional)
Tl: 0.000 0.500 0.000
Tl: 0.500 0.000 0.000
Au: 0.000 0.000 0.500
Zn: 0.000 0.000 0.000
Rb: 0.500 0.500 0.500

Values from the calculation:
Uncorrected energy   -10.111 eV/cell
Space-group type   No. 123
Total magnetization   0.00 μB/f.u.
Formation energy   0.03 eV/atom

=====

No. 13
This record from Alexandria via LeMat-Bulk describes an optimized crystal structure of RbTlZnAu2. The functional is PBE.

abc: 5.175 5.175 5.386
angles: 90.00 90.00 90.00
Element x y z (fractional)
Tl: 0.000 0.000 0.500
Au: 0.000 0.500 0.000
Au: 0.500 0.000 0.000
Zn: 0.000 0.000 0.000
Rb: 0.500 0.500 0.500

Values from the calculation:
Uncorrected energy   -11.337 eV/cell
Space-group type   No. 123
Total magnetization   0.00 μB/f.u.
Formation energy   -0.03 eV/atom

=====

No. 14
This record from Alexandria via LeMat-Bulk describes an optimized crystal structure of RbTl2ZnAu. The functional is PBE.

abc: 5.715 5.715 5.144
angles: 90.00 90.00 90.00
Element x y z (fractional)
Tl: 0.000 0.500 0.000
Tl: 0.500 0.000 0.000
Au: 0.000 0.000 0.000
Zn: 0.000 0.000 0.500
Rb: 0.500 0.500 0.500

Values from the calculation:
Uncorrected energy   -10.085 eV/cell
Space-group type   No. 123
Total magnetization   0.00 μB/f.u.
Formation energy   0.03 eV/atom

=====

No. 15
This record from Alexandria via LeMat-Bulk describes an optimized crystal structure of Rb2TlZnAu2. The functional is PBE.

abc: 7.200 7.724 8.828
angles: 115.94 114.07 90.00
Element x y z (fractional)
Rb: 0.680 0.899 0.360
Rb: 0.180 0.461 0.360
Rb: 0.820 0.539 0.640
Rb: 0.320 0.101 0.640
Tl: 0.250 0.000 0.000
Tl: 0.750 0.000 0.000
Zn: 0.750 0.500 0.000
Zn: 0.250 0.500 0.000
Au: 0.432 0.651 0.864
Au: 0.568 0.349 0.136
Au: 0.068 0.787 0.136
Au: 0.932 0.213 0.864

Values from the calculation:
Uncorrected energy   -26.599 eV/cell
Space-group type   No. 72
Total magnetization   0.00 μB/f.u.
Formation energy   -0.19 eV/atom

=====

No. 16
This record from Alexandria via LeMat-Bulk describes an optimized crystal structure of RbTlZn2Au. The functional is PBE.

abc: 5.114 5.114 5.668
angles: 90.00 90.00 90.00
Element x y z (fractional)
Tl: 0.000 0.000 0.500
Au: 0.000 0.000 0.000
Zn: 0.000 0.500 0.000
Zn: 0.500 0.000 0.000
Rb: 0.500 0.500 0.500

Values from the calculation:
Uncorrected energy   -9.126 eV/cell
Space-group type   No. 123
Total magnetization   0.00 μB/f.u.
Formation energy   0.01 eV/atom

=====

No. 17
This record from Alexandria via LeMat-Bulk describes an optimized crystal structure of RbTmAu2. The functional is PBE.

abc: 3.684 3.684 8.366
angles: 90.00 90.00 90.00
Element x y z (fractional)
Tm: 0.500 0.500 0.000
Au: 0.000 0.000 0.822
Au: 0.000 0.000 0.178
Rb: 0.500 0.500 0.500

Values from the calculation:
Uncorrected energy   -14.238 eV/cell
Space-group type   No. 123
Total magnetization   0.00 μB/f.u.
Formation energy   -0.56 eV/atom

=====

No. 18
This record from Alexandria via LeMat-Bulk describes an optimized crystal structure of RbVAu3. The functional is PBE.

abc: 5.192 5.192 5.192
angles: 90.00 90.00 90.00
Each line ends with the local moment (μB).
Element x y z (fractional)
Au: 0.000 0.500 0.000  0.04
Au: 0.000 0.000 0.500  0.04
Au: 0.500 0.000 0.000  0.04
Rb: 0.500 0.500 0.500  0.00
V: 0.000 0.000 0.000  2.33

Values from the calculation:
Uncorrected energy   -18.613 eV/cell
Space-group type   No. 221
Total magnetization   2.92 μB/f.u.
Formation energy   0.26 eV/atom

=====

No. 19
This record from Alexandria via LeMat-Bulk describes an optimized crystal structure of RbV2Au. The functional is PBE.

abc: 4.463 4.463 10.677
angles: 77.94 77.94 90.00
Each line ends with the local moment (μB).
Element x y z (fractional)
Au: 0.000 0.000 0.000  0.01
Au: 0.750 0.250 0.500  0.01
Rb: 0.500 0.500 0.000  0.01
Rb: 0.250 0.750 0.500  0.01
V: 0.831 0.125 0.250  0.45
V: 0.919 0.625 0.250  0.45
V: 0.375 0.169 0.750  0.45
V: 0.875 0.081 0.750  0.45

Values from the calculation:
Uncorrected energy   -35.853 eV/cell
Space-group type   No. 122
Total magnetization   1.12 μB/f.u.
Formation energy   1.14 eV/atom

=====

No. 20
This record from Alexandria via LeMat-Bulk describes an optimized crystal structure of RbVAu2. The functional is PBE.

abc: 8.117 8.117 6.809
angles: 53.42 53.42 90.00
Each line ends with the local moment (μB).
Element x y z (fractional)
Au: 0.538 0.125 0.250  0.07
Au: 0.212 0.625 0.250  0.07
Au: 0.375 0.462 0.750  0.07
Au: 0.875 0.788 0.750  0.07
Rb: 0.000 0.000 0.000  0.03
Rb: 0.750 0.250 0.500  0.03
V: 0.500 0.500 0.000  2.67
V: 0.250 0.750 0.500  2.67

Values from the calculation:
Uncorrected energy   -30.100 eV/cell
Space-group type   No. 122
Total magnetization   3.80 μB/f.u.
Formation energy   0.40 eV/atom